Density functional theory data (PBE) for crystalline Pm4NdSmDy2 at its relaxed geometry.

```
8
Lattice="-0.526 0.691 3.525 3.108 -5.233 1.491 11.187 4.338 0.819" Properties=species:S:1:pos:R:3 pbc="T T T"
Pm 10.707 -0.684 1.732
Pm 3.062 0.480 4.102
Pm 4.866 -2.500 3.086
Pm 8.903 2.295 2.748
Nd 1.291 -2.271 2.508
Sm 7.148 -0.448 1.155
Dy 11.187 4.338 0.819
Dy 5.330 2.515 2.172
```

N(E_F) = 11.59 states/eV/f.u.
Raw total energy = -4.70 eV/atom
Energy of formation from the pure elements = 0.0157 eV/atom
Space group = P2/m, No. 10
M_tot = 0.00 μB per formula unit